An optimized crystal structure of Mg4HgPb, computed with PBE-GGA.

It has space group P2/m (No. 10), with a = 3.7893 Å, b = 3.7874 Å, c = 9.8332 Å, α = 90.00°, β = 90.07° and γ = 90.00°. The inequivalent atoms are Mg at (0.0015, 0.0000, 0.1795), Mg at (0.4977, 0.5000, 0.6522), Hg at (0.0000, 0.0000, 0.5000) and Pb at (0.5000, 0.5000, 0.0000).

The calculation puts the offset from the most stable computed form at 0.000 eV per atom. The calculation puts the density of states at the Fermi level at 1.62 states/eV per cell. The raw total energy is -1.82 eV/atom.

---

An optimized crystal structure of Tm3Hg, computed with PBE-GGA.

It has space group I4/mmm (No. 139), with a = 4.6670 Å, b = 4.6670 Å, c = 9.8027 Å, α = 90.00°, β = 90.00° and γ = 90.00°. The inequivalent atoms are Tm at (0.0000, 0.0000, 0.0000), Tm at (0.0000, 0.5000, 0.2500) and Hg at (0.0000, 0.0000, 0.5000).

The calculation puts the density of states at the Fermi level at 11.37 states/eV per cell. The raw total energy is -3.55 eV/atom.

---

An optimized crystal structure of MnFeCo, computed with PBE-GGA.

It has space group Fmm2 (No. 42), with a = 2.7916 Å, b = 4.0301 Å, c = 12.1024 Å, α = 90.00°, β = 90.00° and γ = 90.00°. The inequivalent atoms are Mn at (0.0000, 0.0000, 0.0000), Fe at (0.0000, 0.0000, 0.3324) and Co at (0.0000, 0.0000, 0.6666).

The calculation puts the offset from the most stable computed form at 0.073 eV per atom. The calculation puts the density of states at the Fermi level at 19.42 states/eV per cell. The raw total energy is -8.13 eV/atom.

---

An optimized crystal structure of Tb2US6, computed with PBE-GGA.

It has space group P4_2/mnm (No. 136), with a = 6.3195 Å, b = 6.3195 Å, c = 12.1007 Å, α = 90.00°, β = 90.00° and γ = 90.00°. The inequivalent atoms are Tb at (0.0000, 0.0000, 0.1649), U at (0.0000, 0.0000, 0.5000), S at (0.1903, 0.1903, 0.3428) and S at (0.2096, 0.2096, 0.0000).

The calculation puts the density of states at the Fermi level at 1.44 states/eV per cell. The calculation puts the uncorrected formation energy at -1556 meV per atom. The raw total energy is -6.59 eV/atom.

---

An optimized crystal structure of AlPtSe2, computed with PBE-GGA.

It has space group P4mm (No. 99), with a = 3.3995 Å, b = 3.3995 Å, c = 7.1750 Å, α = 90.00°, β = 90.00° and γ = 90.00°. The inequivalent atoms are Al at (0.0000, 0.0000, 0.0000), Pt at (0.5000, 0.5000, 0.1750), Se at (0.0000, 0.0000, 0.3746) and Se at (0.5000, 0.5000, 0.8251).

The calculation puts the density of states at the Fermi level at 1.99 states/eV per cell. The calculation puts the uncorrected formation energy at -237 meV per atom. The raw total energy is -4.42 eV/atom.

---

An optimized crystal structure of Mg2BeCd, computed with PBE-GGA.

It has space group P4/mmm (No. 123), with a = 4.2858 Å, b = 4.2858 Å, c = 3.9789 Å, α = 90.00°, β = 90.00° and γ = 90.00°. The inequivalent atoms are Mg at (0.0000, 0.5000, 0.0000), Be at (0.0000, 0.0000, 0.5000) and Cd at (0.5000, 0.5000, 0.5000).

The calculation puts the offset from the most stable computed form at 0.073 eV per atom. The calculation puts the density of states at the Fermi level at 1.43 states/eV per cell. The raw total energy is -1.74 eV/atom.

---

An optimized crystal structure of AcY2Tl, computed with PBE-GGA.

It has space group P4/mmm (No. 123), with a = 3.7547 Å, b = 3.7547 Å, c = 9.2343 Å, α = 90.00°, β = 90.00° and γ = 90.00°. The inequivalent atoms are Ac at (0.0000, 0.0000, 0.0000), Y at (0.5000, 0.5000, 0.2869) and Tl at (0.0000, 0.0000, 0.5000).

The calculation puts the offset from the most stable computed form at 0.000 eV per atom. The calculation puts the density of states at the Fermi level at 4.16 states/eV per cell. The raw total energy is -5.03 eV/atom.